Computed, not measured: a relaxed CsLi2CaPd crystal at the PBE level of DFT.

Lattice parameters (Å, degrees): 5.5349 5.5349 5.4825 90.00 90.00 90.00
Closest atoms and distances in Å follow each position.
Atoms (fractional coordinates):
Li (0.5000, 0.0000, 0.0000)  2 Pd 2.77
Li (0.0000, 0.5000, 0.0000)  2 Pd 2.77
Ca (0.0000, 0.0000, 0.5000)  2 Pd 2.74
Cs (0.5000, 0.5000, 0.5000)  8 Li 3.90, 4 Ca 3.91
Pd (0.0000, 0.0000, 0.0000)  2 Ca 2.74, 4 Li 2.77

formation energy	-0.03	eV/atom